Entry 1:
## Ti2AgBi2 (PBE)

Data for crystalline Ti2AgBi2 at its relaxed geometry.

Total moment   0.0 μB per cell
Polymorph energy (0 for the lowest one)   88 meV per atom

Unit cell a=7.9171 b=7.9171 c=3.5978 alpha=90.00 beta=90.00 gamma=90.00
Fractional positions:
1 Bi 0.3404 0.8404 0.0000
2 Bi 0.8404 0.6596 0.0000
3 Bi 0.6596 0.1596 0.0000
4 Bi 0.1596 0.3404 0.0000
5 Ag 0.0000 0.0000 0.0000
6 Ag 0.5000 0.5000 0.0000
7 Ti 0.1327 0.6327 0.5000
8 Ti 0.6327 0.8673 0.5000
9 Ti 0.8673 0.3673 0.5000
10 Ti 0.3673 0.1327 0.5000



Entry 2:
## TiAg3Bi (PBE)

Data for crystalline TiAg3Bi at its relaxed geometry.

Total moment   2.1 μB per cell
Polymorph energy (0 for the lowest one)   0 meV per atom

Unit cell a=5.0549 b=5.0549 c=5.0549 alpha=90.00 beta=90.00 gamma=90.00
Last column: magnetic moment on the atom in μB.
Fractional positions:
1 Bi 0.5000 0.5000 0.5000  -0.01
2 Ag 0.0000 0.5000 0.0000  0.10
3 Ag 0.0000 0.0000 0.5000  0.06
4 Ag 0.5000 0.0000 0.0000  0.10
5 Ti 0.0000 0.0000 0.0000  1.42



Entry 3:
## Ti4AgBi (PBE)

Data for crystalline Ti4AgBi at its relaxed geometry.

Raw total energy   -6.435 eV/atom
Total moment   0.0 μB per cell

Unit cell a=4.7251 b=4.7371 c=5.4953 alpha=64.46 beta=89.99 gamma=89.98
Fractional positions:
1 Ti 0.5013 0.6757 0.1481
2 Ti 0.5013 0.3281 0.8426
3 Ti 0.0013 0.1768 0.1454
4 Ti 0.0013 0.8268 0.8454
5 Ag 0.0013 0.5018 0.4956
6 Bi 0.5013 0.0019 0.4954